[1]
A relaxed LaHgRh crystal, computed with PBE-GGA.

```
6
Lattice="1.981 -8.948 0.000 1.981 8.948 0.000 0.000 0.000 4.071" Properties=species:S:1:pos:R:3 pbc="T T T"
La 1.981 7.232 3.053
La 1.981 -7.232 1.018
Hg 1.981 3.746 3.053
Hg 1.981 -3.746 1.018
Rh 1.981 0.945 3.053
Rh 1.981 -0.945 1.018
```

Output
As for the density: 10.2 g/cm3. The density of states at the Fermi level is 4.398 states/eV/cell. As for the energy of formation from the pure elements: -0.64 eV/atom.


[2]
A relaxed LaHg2Rh crystal, computed with PBE-GGA.

```
4
Lattice="-2.094 2.714 4.189 2.094 -2.714 4.189 2.094 2.714 -4.189" Properties=species:S:1:pos:R:3 pbc="T T T"
La 0.000 0.000 0.000
Hg 0.000 0.000 3.707
Hg 0.000 2.714 1.746
Rh 2.094 0.000 1.740
```

Output
As for the density: 11.2 g/cm3. The density of states at the Fermi level is 2.465 states/eV/cell. As for the energy of formation from the pure elements: -0.30 eV/atom.


[3]
A relaxed LaHg2Rh crystal, computed with PBE-GGA.

```
4
Lattice="0.000 3.591 3.591 3.591 0.000 3.591 3.591 3.591 0.000" Properties=species:S:1:pos:R:3 pbc="T T T"
La 0.000 0.000 0.000
Hg 1.796 1.796 1.796
Hg 5.387 5.387 5.387
Rh 3.591 3.591 3.591
```

Output
As for the density: 11.5 g/cm3. The density of states at the Fermi level is 4.501 states/eV/cell. As for the energy of formation from the pure elements: -0.25 eV/atom.


[4]
A relaxed LaHg2Rh crystal, computed with PBE-GGA.

```
4
Lattice="3.875 0.000 0.000 0.000 3.875 0.000 0.000 0.000 6.206" Properties=species:S:1:pos:R:3 pbc="T T T"
La 0.000 0.000 0.000
Hg 1.938 1.938 1.733
Hg 1.938 1.938 4.473
Rh 0.000 0.000 3.103
```

Output
As for the density: 11.5 g/cm3. The density of states at the Fermi level is 3.629 states/eV/cell. As for the energy of formation from the pure elements: -0.19 eV/atom.


[5]
A relaxed La2Hg3Rh2 crystal, computed with PBE-GGA.

```
7
Lattice="2.044 -10.616 0.000 2.044 10.616 0.000 0.000 0.000 3.948" Properties=species:S:1:pos:R:3 pbc="T T T"
La 2.044 6.965 0.000
La 2.044 -6.965 0.000
Hg 0.000 0.000 0.000
Hg 2.044 1.509 1.974
Hg 2.044 -1.509 1.974
Rh 2.044 4.287 1.974
Rh 2.044 -4.287 1.974
```

Output
As for the density: 10.5 g/cm3. The density of states at the Fermi level is 5.199 states/eV/cell. The offset from the most stable computed form is 0 meV/atom. As for the energy of formation from the pure elements: -0.52 eV/atom.


[6]
A relaxed LaHgRh2 crystal, computed with PBE-GGA.

```
4
Lattice="4.529 0.000 0.000 0.000 4.529 0.000 0.000 0.000 3.807" Properties=species:S:1:pos:R:3 pbc="T T T"
La 0.000 0.000 0.000
Hg 2.265 2.265 0.000
Rh 0.000 2.265 1.903
Rh 2.265 0.000 1.903
```

Output
As for the density: 11.6 g/cm3. The density of states at the Fermi level is 2.657 states/eV/cell. As for the energy of formation from the pure elements: -0.47 eV/atom.


[7]
A relaxed LaHgRh2 crystal, computed with PBE-GGA.

```
4
Lattice="1.555 0.898 9.671 -1.555 0.898 9.671 0.000 -1.795 9.671" Properties=species:S:1:pos:R:3 pbc="T T T"
La 0.000 0.000 0.000
Hg 0.000 0.000 6.740
Rh 0.000 0.000 14.134
Rh 0.000 0.000 21.783
```

Output
As for the density: 11.2 g/cm3. The density of states at the Fermi level is 5.545 states/eV/cell. As for the energy of formation from the pure elements: 0.28 eV/atom.


[8]
A relaxed LaHg2Rh crystal, computed with PBE-GGA.

```
4
Lattice="4.167 0.000 0.000 0.000 4.167 0.000 0.000 0.000 5.398" Properties=species:S:1:pos:R:3 pbc="T T T"
La 0.000 0.000 0.000
Hg 0.000 2.083 2.699
Hg 2.083 0.000 2.699
Rh 2.083 2.083 0.000
```

Output
As for the density: 11.4 g/cm3. The density of states at the Fermi level is 2.053 states/eV/cell. As for the energy of formation from the pure elements: -0.31 eV/atom.


[9]
A relaxed LaHg2Rh crystal, computed with PBE-GGA.

```
4
Lattice="3.552 0.000 0.000 0.000 3.552 0.000 0.000 0.000 7.501" Properties=species:S:1:pos:R:3 pbc="T T T"
La 0.000 0.000 0.000
Hg 0.000 0.000 3.206
Hg 1.776 1.776 5.109
Rh 1.776 1.776 1.608
```

Output
As for the density: 11.3 g/cm3. The density of states at the Fermi level is 2.063 states/eV/cell. As for the energy of formation from the pure elements: -0.30 eV/atom.


[10]
A relaxed La2Hg3Rh2 crystal, computed with PBE-GGA.

```
7
Lattice="5.226 -2.184 0.000 5.226 2.184 0.000 -0.899 0.000 7.303" Properties=species:S:1:pos:R:3 pbc="T T T"
La 0.991 0.000 2.585
La 8.562 0.000 4.718
Hg 1.225 0.000 6.289
Hg 5.226 0.000 0.000
Hg 8.328 0.000 1.014
Rh 3.916 0.000 2.622
Rh 5.637 0.000 4.681
```

Output
As for the density: 10.8 g/cm3. The density of states at the Fermi level is 3.806 states/eV/cell. The offset from the most stable computed form is 31 meV/atom. As for the energy of formation from the pure elements: -0.49 eV/atom.


[11]
A relaxed LaHg2Rh crystal, computed with PBE-GGA.

```
4
Lattice="4.583 0.000 0.000 0.000 4.859 0.000 -1.560 0.000 4.549" Properties=species:S:1:pos:R:3 pbc="T T T"
La 0.000 0.000 0.000
Hg 0.372 2.430 3.150
Hg 2.652 2.430 1.399
Rh 1.512 0.000 2.274
```

Output
As for the density: 10.5 g/cm3. The density of states at the Fermi level is 1.935 states/eV/cell. As for the energy of formation from the pure elements: -0.35 eV/atom.


[12]
A relaxed LaHgRh crystal, computed with PBE-GGA.

```
3
Lattice="0.000 3.394 3.394 3.394 0.000 3.394 3.394 3.394 0.000" Properties=species:S:1:pos:R:3 pbc="T T T"
La 0.000 0.000 0.000
Hg 3.394 3.394 3.394
Rh 1.697 1.697 1.697
```

Output
As for the density: 9.4 g/cm3. The density of states at the Fermi level is 1.170 states/eV/cell. As for the energy of formation from the pure elements: -0.53 eV/atom.


[13]
A relaxed La2HgRh2 crystal, computed with PBE-GGA.

```
5
Lattice="-2.759 2.759 4.169 2.759 -2.759 4.169 2.759 2.759 -4.169" Properties=species:S:1:pos:R:3 pbc="T T T"
La 2.759 0.000 2.084
La 0.000 2.759 2.084
Hg 0.000 0.000 0.000
Rh 0.000 0.000 2.796
Rh 0.000 0.000 5.541
```

Output
As for the density: 9.0 g/cm3. The density of states at the Fermi level is 2.501 states/eV/cell. As for the energy of formation from the pure elements: -0.57 eV/atom.


[14]
A relaxed La11Hg9Rh4 crystal, computed with PBE-GGA.

```
24
Lattice="7.507 -11.247 0.000 7.507 11.247 0.000 0.000 0.000 3.860" Properties=species:S:1:pos:R:3 pbc="T T T"
La 0.000 0.000 0.000
La 3.734 3.780 0.000
La 7.507 7.553 0.000
La 4.612 0.000 0.000
La 7.507 2.856 0.000
La 3.734 -3.780 0.000
La 11.280 3.780 0.000
La 7.507 -2.856 0.000
La 10.402 0.000 0.000
La 7.507 -7.553 0.000
La 11.280 -3.780 0.000
Hg 2.133 1.631 1.930
Hg 5.927 5.360 1.930
Hg 2.133 -1.631 1.930
Hg 9.087 5.360 1.930
Hg 7.507 0.000 1.930
Hg 5.927 -5.360 1.930
Hg 12.881 1.631 1.930
Hg 9.087 -5.360 1.930
Hg 12.881 -1.631 1.930
Rh 5.240 2.271 1.930
Rh 5.240 -2.271 1.930
Rh 9.774 2.271 1.930
Rh 9.774 -2.271 1.930
```

Output
As for the density: 9.5 g/cm3. The density of states at the Fermi level is 20.689 states/eV/cell. As for the energy of formation from the pure elements: -0.63 eV/atom.


[15]
A relaxed LaHgRh2 crystal, computed with PBE-GGA.

```
8
Lattice="-3.673 3.673 3.146 3.673 -3.673 3.146 3.673 3.673 -3.146" Properties=species:S:1:pos:R:3 pbc="T T T"
La 0.000 0.000 0.000
La 0.000 3.673 1.573
Hg 3.673 0.000 1.573
Hg 0.000 0.000 3.146
Rh 5.509 1.818 -0.786
Rh 1.818 1.836 0.786
Rh -1.836 1.855 2.359
Rh 1.855 1.836 3.932
```

Output
As for the density: 10.7 g/cm3. The density of states at the Fermi level is 2.235 states/eV/cell. As for the energy of formation from the pure elements: -0.14 eV/atom.


[16]
A relaxed LaHg2Rh crystal, computed with PBE-GGA.

```
4
Lattice="4.103 0.000 0.000 0.000 3.941 0.000 -2.048 0.000 6.057" Properties=species:S:1:pos:R:3 pbc="T T T"
La 0.000 0.000 0.000
Hg 0.001 0.000 3.397
Hg 2.049 1.971 2.222
Rh 0.004 1.971 5.493
```

Output
As for the density: 10.9 g/cm3. The density of states at the Fermi level is 1.902 states/eV/cell. As for the energy of formation from the pure elements: -0.42 eV/atom.


[17]
A relaxed La6Hg5Rh crystal, computed with PBE-GGA.

```
12
Lattice="-2.721 3.883 8.108 2.721 -3.883 8.108 2.721 3.883 -8.108" Properties=species:S:1:pos:R:3 pbc="T T T"
La 2.721 1.797 -2.492
La 0.000 1.751 0.000
La 2.721 1.797 2.492
La 0.000 2.087 5.616
La 0.000 6.016 0.000
La 0.000 2.087 10.600
Hg 0.000 0.000 3.031
Hg 2.721 0.000 5.393
Hg 0.000 0.000 8.108
Hg 0.000 3.883 2.715
Hg 0.000 0.000 13.185
Rh 2.721 0.000 0.000
```

Output
As for the density: 9.4 g/cm3. The density of states at the Fermi level is 11.019 states/eV/cell. As for the energy of formation from the pure elements: -0.54 eV/atom.


[18]
A relaxed La2HgRh2 crystal, computed with PBE-GGA.

```
5
Lattice="-2.035 2.035 7.839 2.035 -2.035 7.839 2.035 2.035 -7.839" Properties=species:S:1:pos:R:3 pbc="T T T"
La 0.000 0.000 1.976
La 0.000 0.000 13.703
Hg 0.000 0.000 7.839
Rh 2.035 0.000 3.920
Rh 0.000 2.035 3.920
```

Output
As for the density: 8.7 g/cm3. The density of states at the Fermi level is 4.171 states/eV/cell. As for the energy of formation from the pure elements: -0.47 eV/atom.


[19]
A relaxed La4HgRh2 crystal, computed with PBE-GGA.

```
14
Lattice="2.087 -7.102 0.000 2.087 7.102 0.000 0.000 0.000 14.254" Properties=species:S:1:pos:R:3 pbc="T T T"
La 0.000 0.000 0.000
La 0.000 0.000 7.127
La 2.087 3.285 8.720
La 2.087 3.285 12.662
La 2.087 0.933 3.564
La 2.087 -0.933 10.691
La 2.087 -3.285 1.592
La 2.087 -3.285 5.535
Hg 2.087 5.534 3.564
Hg 2.087 -5.534 10.691
Rh 2.087 1.881 0.895
Rh 2.087 1.881 6.232
Rh 2.087 -1.881 8.023
Rh 2.087 -1.881 13.359
```

Output
As for the density: 7.6 g/cm3. The density of states at the Fermi level is 10.574 states/eV/cell. The offset from the most stable computed form is 0 meV/atom. As for the energy of formation from the pure elements: -0.62 eV/atom.


[20]
A relaxed LaHg2Rh crystal, computed with PBE-GGA.

```
4
Lattice="1.699 0.981 9.469 -1.699 0.981 9.469 0.000 -1.962 9.469" Properties=species:S:1:pos:R:3 pbc="T T T"
La 0.000 0.000 0.000
Hg 0.000 0.000 6.749
Hg 0.000 0.000 21.657
Rh 0.000 0.000 14.203
```

Output
As for the density: 11.3 g/cm3. The density of states at the Fermi level is 5.983 states/eV/cell. As for the energy of formation from the pure elements: 0.08 eV/atom.


[21]
A relaxed LaHg2Rh crystal, computed with PBE-GGA.

```
4
Lattice="-2.170 2.170 4.844 2.170 -2.170 4.844 2.170 2.170 -4.844" Properties=species:S:1:pos:R:3 pbc="T T T"
La 0.000 0.000 0.000
Hg 2.170 0.000 2.422
Hg 0.000 2.170 2.422
Rh 0.000 0.000 4.844
```

Output
As for the density: 11.7 g/cm3. The density of states at the Fermi level is 1.854 states/eV/cell. As for the energy of formation from the pure elements: -0.38 eV/atom.


[22]
A relaxed La2Hg3Rh crystal, computed with PBE-GGA.

```
6
Lattice="3.736 0.000 0.000 0.000 5.089 0.000 0.000 0.000 8.313" Properties=species:S:1:pos:R:3 pbc="T T T"
La 0.000 0.000 0.000
La 0.000 2.545 3.538
Hg 1.868 0.000 4.962
Hg 1.868 2.545 0.967
Hg 1.868 2.545 6.413
Rh 1.868 0.000 2.132
```

Output
As for the density: 10.3 g/cm3. The density of states at the Fermi level is 3.830 states/eV/cell. As for the energy of formation from the pure elements: -0.51 eV/atom.


[23]
A relaxed La3HgRh crystal, computed with PBE-GGA.

```
5
Lattice="5.542 0.000 0.000 0.000 5.542 0.000 0.000 0.000 5.542" Properties=species:S:1:pos:R:3 pbc="T T T"
La 0.000 0.000 2.771
La 0.000 2.771 0.000
La 2.771 0.000 0.000
Hg 2.771 2.771 2.771
Rh 0.000 0.000 0.000
```

Output
As for the density: 7.0 g/cm3. The density of states at the Fermi level is 7.485 states/eV/cell. The offset from the most stable computed form is 194 meV/atom. As for the energy of formation from the pure elements: -0.36 eV/atom.


[24]
A relaxed La4Hg5Rh2 crystal, computed with PBE-GGA.

```
11
Lattice="7.936 0.000 0.000 0.000 3.838 0.000 -0.766 0.000 9.703" Properties=species:S:1:pos:R:3 pbc="T T T"
La 1.179 0.000 3.350
La 1.040 0.000 9.108
La 6.131 0.000 0.595
La 5.992 0.000 6.353
Hg 0.859 1.919 6.244
Hg 3.479 1.919 1.653
Hg 3.585 1.919 4.851
Hg 3.691 1.919 8.050
Hg 6.312 1.919 3.459
Rh 0.513 1.919 1.385
Rh 6.658 1.919 8.318
```

Output
As for the density: 9.9 g/cm3. The density of states at the Fermi level is 6.425 states/eV/cell. As for the energy of formation from the pure elements: -0.60 eV/atom.